## HoPtAu (PBE)

Data for HoPtAu after structural relaxation.

Computed properties:
Total magnetic moment: 0.00 μB per formula unit
V: 23.4 Å³ per atom
Distance to the lowest polymorph of the same formula: 127 meV/atom
E_tot: -5.483 eV/atom
Energy relative to the elements: -851 meV per atom

extended XYZ file:
```
3
Lattice="-3.5394 2.0897 -2.1287 -4.1989 -1.9478 0.0367 -3.4084 1.8943 2.4941" Properties=species:S:1:pos:R:3 pbc="T T T"
Pt -2.7867 0.5091 0.1005
Ho -5.5733 1.0181 0.2010
Au 0.0000 0.0000 0.0000
```

## Ho3Pt2Au3 (PBE)

Data for Ho3Pt2Au3 after structural relaxation.

Computed properties:
Total magnetic moment: 0.00 μB per formula unit
V: 21.4 Å³ per atom
E_tot: -5.484 eV/atom
Energy relative to the elements: -1029 meV per atom

extended XYZ file:
```
8
Lattice="-0.4432 2.0758 -2.9056 6.6489 -2.1092 -2.5209 -6.0589 -3.8639 -1.8363" Properties=species:S:1:pos:R:3 pbc="T T T"
Ho -3.8615 -1.2834 -2.5560
Ho 0.0140 -1.3468 -3.1924
Ho 3.7728 -0.2292 -2.9673
Au -1.3993 -0.8924 -0.4241
Au 1.5355 -0.4871 -0.5822
Au 0.4538 -4.5936 -3.3509
Pt -1.8229 -3.2790 -2.0645
Pt 2.4130 -2.6941 -2.2927
```

## Ho6Pt5Au (PBE)

Data for Ho6Pt5Au after structural relaxation.

Computed properties:
Total magnetic moment: 0.00 μB per formula unit
V: 21.4 Å³ per atom
E_tot: -6.258 eV/atom
Energy relative to the elements: -1179 meV per atom

extended XYZ file:
```
12
Lattice="-2.6335 -0.9013 -4.0928 2.3237 -6.5875 -0.0445 -5.6161 1.6805 6.2365" Properties=species:S:1:pos:R:3 pbc="T T T"
Pt -2.1001 -4.4400 -0.6639
Pt -2.7135 -4.6797 2.7766
Pt -3.8259 -1.3682 2.7630
Pt 1.1619 -3.2938 -0.0223
Pt -3.2124 -1.1286 -0.6774
Ho -4.5667 -3.4437 0.7038
Ho -5.7136 -0.1923 0.7258
Ho -0.7214 -2.1384 -2.0579
Ho -1.3592 -2.3646 1.3953
Ho -0.2123 -5.6160 1.3734
Ho 0.4117 -5.3504 -2.0795
Au 0.0000 0.0000 0.0000
```

## Ho3Pt2Au (PBE)

Data for Ho3Pt2Au after structural relaxation.

Computed properties:
Total magnetic moment: 0.00 μB per formula unit
V: 21.7 Å³ per atom
E_tot: -5.963 eV/atom
Energy relative to the elements: -1114 meV per atom

extended XYZ file:
```
6
Lattice="-1.2688 -2.8681 -1.5918 4.0634 -0.1986 -2.8811 1.3315 -4.1849 6.4792" Properties=species:S:1:pos:R:3 pbc="T T T"
Pt 1.8733 -4.3818 -1.3688
Pt 2.2528 -2.8698 3.3751
Au 0.0000 0.0000 0.0000
Ho 0.5166 -2.9002 0.9284
Ho 1.3973 -1.5333 -2.2364
Ho 3.6096 -4.3514 1.0778
```

## Ho2Pt5Au (PBE)

Data for Ho2Pt5Au after structural relaxation.

Computed properties:
Total magnetic moment: 0.00 μB per formula unit
V: 17.7 Å³ per atom
E_tot: -6.349 eV/atom
Energy relative to the elements: -1020 meV per atom

extended XYZ file:
```
16
Lattice="-1.9645 -2.4538 2.6955 -3.3237 -2.0972 -4.3314 7.8572 -8.4299 -1.9476" Properties=species:S:1:pos:R:3 pbc="T T T"
Pt 0.3354 -3.1491 -2.6223
Pt -2.4893 -3.8408 -2.1301
Pt 4.1981 -7.3780 -3.6568
Pt 2.2667 -5.2636 -3.1395
Pt -1.3427 -4.1803 -4.7840
Pt 1.1492 -4.9128 -0.4543
Pt 1.4199 -8.0681 -3.1293
Pt 5.0583 -9.1401 -1.4535
Pt 5.8762 -6.3468 -1.4951
Pt 0.0000 0.0000 0.0000
Ho 3.0945 -7.0729 -1.0029
Ho -0.5255 -5.9080 -2.5807
Ho 3.3371 -10.1647 -3.6406
Ho -0.7680 -2.8162 0.0571
Au -1.6619 -1.0486 -2.1657
Au 3.9286 -4.2150 -0.9738
```

## Ho5Pt2Au (PBE)

Data for Ho5Pt2Au after structural relaxation.

Computed properties:
Total magnetic moment: 0.00 μB per formula unit
V: 24.5 Å³ per atom
E_tot: -5.708 eV/atom
Energy relative to the elements: -927 meV per atom

extended XYZ file:
```
16
Lattice="7.0025 0.0000 -3.3055 -1.5604 6.8264 -3.3055 -0.2560 -0.3211 8.5276" Properties=species:S:1:pos:R:3 pbc="T T T"
Pt 0.3855 2.4839 -1.6528
Pt 5.0566 4.3425 -4.9583
Pt 1.2000 5.8971 -4.0583
Pt 4.2421 0.9293 -2.5527
Ho 4.3926 1.1181 3.1670
Ho 4.0189 6.5941 -3.4876
Ho 2.8117 1.9740 -0.1821
Ho 6.0371 3.1809 -2.4193
Ho 0.7935 5.3872 -1.2505
Ho -0.8509 3.3245 4.3358
Ho 2.3745 4.5314 2.0986
Ho 1.1673 -0.0887 5.4042
Ho 2.7211 3.4132 -3.3055
Ho 0.0000 0.0000 0.0000
Au 1.2326 1.5461 2.6110
Au 3.9536 4.9593 -0.6945
```

## Ho6PtAu5 (PBE)

Data for Ho6PtAu5 after structural relaxation.

Computed properties:
Total magnetic moment: 0.00 μB per formula unit
V: 22.7 Å³ per atom
E_tot: -5.091 eV/atom
Energy relative to the elements: -933 meV per atom

extended XYZ file:
```
12
Lattice="-4.6011 -1.2688 1.5392 3.5170 -7.1658 -3.5393 3.9236 3.8696 6.7732" Properties=species:S:1:pos:R:3 pbc="T T T"
Ho 2.0748 -5.2455 1.9139
Ho 0.7646 0.6806 2.8591
Ho 4.4539 -2.8234 2.8457
Ho 2.2077 -1.6389 5.2843
Ho -1.6145 -1.7415 1.9273
Ho 0.6317 -2.9261 -0.5112
Au 1.2869 -5.8873 -0.9821
Au 1.5525 1.3224 5.7552
Au 1.4197 -2.2825 2.3865
Au -0.9477 -4.7318 1.4601
Au 3.7872 0.1669 3.3130
Pt 0.0000 0.0000 0.0000
```

## Ho2Pt3Au (PBE)

Data for Ho2Pt3Au after structural relaxation.

Computed properties:
Total magnetic moment: 0.00 μB per formula unit
V: 23.4 Å³ per atom
E_tot: -5.832 eV/atom
Energy relative to the elements: -739 meV per atom

extended XYZ file:
```
12
Lattice="-1.5952 1.5925 -7.5791 -7.5784 0.5726 1.7154 5.1107 3.3754 3.7582" Properties=species:S:1:pos:R:3 pbc="T T T"
Ho -0.9396 2.6279 -5.0282
Ho -3.1234 2.9126 2.9227
Ho -4.0894 2.2759 -1.1325
Ho 0.0264 3.2646 -0.9730
Pt -6.4815 1.2257 -2.5030
Pt -2.3851 3.5530 -2.8762
Pt 1.4041 3.2667 -3.7339
Pt -1.6779 1.9875 0.7707
Pt -5.4671 2.2738 1.6285
Pt -2.6922 0.9394 -3.3607
Au -3.7892 0.2863 0.8577
Au 0.0000 0.0000 0.0000
```

## Ho2PtAu (PBE)

Data for Ho2PtAu after structural relaxation.

Computed properties:
Total magnetic moment: 0.00 μB per formula unit
V: 22.0 Å³ per atom
E_tot: -5.679 eV/atom
Energy relative to the elements: -1060 meV per atom

extended XYZ file:
```
4
Lattice="3.5171 0.0000 0.0000 0.0000 3.5171 0.0000 0.0000 0.0000 7.1256" Properties=species:S:1:pos:R:3 pbc="T T T"
Ho 0.0000 0.0000 5.4063
Ho 0.0000 0.0000 1.7194
Pt 1.7585 1.7585 0.0000
Au 1.7585 1.7585 3.5628
```

## HoPtAu (PBE)

Data for HoPtAu after structural relaxation.

Computed properties:
Total magnetic moment: 0.00 μB per formula unit
V: 20.3 Å³ per atom
Distance to the lowest polymorph of the same formula: 0 meV/atom
E_tot: -5.610 eV/atom
Energy relative to the elements: -978 meV per atom

extended XYZ file:
```
6
Lattice="-4.2392 -2.4131 -0.4275 3.0821 -0.1562 -3.8017 2.4462 -4.6828 2.1757" Properties=species:S:1:pos:R:3 pbc="T T T"
Pt -1.3118 -2.8699 -0.9509
Pt 2.6009 -4.3823 -1.1026
Ho 1.1979 -2.0963 -2.1075
Ho 0.0913 -5.1559 0.0540
Au 0.0000 0.0000 0.0000
Au 1.2231 -2.3414 1.0878
```

## Ho2Pt3Au3 (PBE)

Data for Ho2Pt3Au3 after structural relaxation.

Computed properties:
Total magnetic moment: 0.00 μB per formula unit
V: 19.3 Å³ per atom
E_tot: -5.494 eV/atom
Energy relative to the elements: -855 meV per atom

extended XYZ file:
```
8
Lattice="-4.3658 0.5205 3.1243 2.5549 -3.4484 3.2671 2.1118 3.7974 3.1958" Properties=species:S:1:pos:R:3 pbc="T T T"
Pt 2.2492 -0.7688 4.8369
Pt -1.2647 0.3289 2.8337
Pt -0.5331 1.7441 6.7102
Au 1.1380 0.0851 1.5760
Au 0.8673 -2.4805 3.2323
Au -1.7044 3.2649 4.7789
Ho -0.6840 -0.9959 5.4734
Ho 0.9849 1.8654 4.1138
```

## Ho8Pt5Au (PBE)

Data for Ho8Pt5Au after structural relaxation.

Computed properties:
Total magnetic moment: 0.00 μB per formula unit
V: 23.8 Å³ per atom
E_tot: -6.063 eV/atom
Energy relative to the elements: -1055 meV per atom

extended XYZ file:
```
14
Lattice="7.1297 0.0000 -2.5158 -3.5269 6.1936 -2.5222 -0.0758 0.0000 7.5601" Properties=species:S:1:pos:R:3 pbc="T T T"
Pt -1.3023 2.3311 -0.0099
Pt 3.0965 3.8625 1.2930
Pt 2.1465 0.7495 6.2836
Pt 3.5269 0.0000 2.5222
Pt 3.1132 5.4441 -2.5223
Ho 6.6116 0.7021 2.8610
Ho -1.8176 4.6624 1.5516
Ho 3.1046 2.3194 4.1027
Ho 0.9173 1.5187 1.5191
Ho 4.4077 1.5312 0.3006
Ho 1.3591 3.8742 -0.9106
Ho -1.7928 4.6749 -2.1452
Ho 1.3178 5.4915 2.8095
Au -0.0379 3.0968 3.7801
```